Record 1
Here is a relaxed structure of BaSmTlCl6 from Alexandria. Energies are from PBE-GGA.

abc: 7.7383 7.7383 13.0039
angles: 90.00 90.00 120.00
Closest atoms and distances in Å follow each position.
Sites, in units of the cell vectors:
Ba (0.6667, 0.3333, 0.7500)  6 Cl 3.10
Ba (0.3333, 0.6667, 0.2500)  6 Cl 3.10
Cl (0.3806, 0.0364, 0.1329)  1 Sm 2.72
Cl (0.9636, 0.6194, 0.3671)  1 Sm 2.72
Cl (0.3806, 0.3442, 0.3671)  1 Sm 2.72
Cl (0.0364, 0.6558, 0.8671)  1 Sm 2.72
Cl (0.3442, 0.9636, 0.6329)  1 Sm 2.72
Cl (0.6558, 0.0364, 0.3671)  1 Sm 2.72
Cl (0.6558, 0.6194, 0.1329)  1 Sm 2.72
Cl (0.3442, 0.3806, 0.8671)  1 Sm 2.72
Cl (0.6194, 0.6558, 0.6329)  1 Sm 2.72
Cl (0.6194, 0.9636, 0.8671)  1 Sm 2.72
Cl (0.0364, 0.3806, 0.6329)  1 Sm 2.72
Cl (0.9636, 0.3442, 0.1329)  1 Sm 2.72
Sm (0.3333, 0.6667, 0.7500)  6 Cl 2.72
Sm (0.6667, 0.3333, 0.2500)  6 Cl 2.72
Tl (0.0000, 0.0000, 0.0000)  6 Cl 3.30
Tl (0.0000, 0.0000, 0.5000)  6 Cl 3.30

Formation energy without anion corrections   -2080 meV per atom
Volume   37.46 A^3/atom
Magnetization   0.00 μB per formula unit

***

Record 2
Here is a relaxed structure of ZrNbP2Cl from Alexandria. Energies are from PBE-GGA.

abc: 4.8555 4.8555 4.6438
angles: 90.00 90.00 90.00
Closest atoms and distances in Å follow each position.
Sites, in units of the cell vectors:
Zr (0.5000, 0.5000, 0.5000)  8 P 3.36, 4 Cl 3.43
Cl (0.0000, 0.0000, 0.5000)  2 Nb 2.32
Nb (0.0000, 0.0000, 0.0000)  2 Cl 2.32, 4 P 2.43
P (0.0000, 0.5000, 0.0000)  2 Nb 2.43
P (0.5000, 0.0000, 0.0000)  2 Nb 2.43

Formation energy without anion corrections   130 meV per atom
E above lowest polymorph   0.0 meV per atom
Volume   21.90 A^3/atom
Magnetization   1.15 μB per formula unit

***

Record 3
Here is a relaxed structure of TbHfFeCo from Alexandria. Energies are from PBE-GGA.

abc: 4.5763 4.5763 4.5763
angles: 60.00 60.00 60.00
Closest atoms and distances in Å follow each position.
Sites, in units of the cell vectors:
Tb (0.0000, 0.0000, 0.0000)  4 Fe 2.80, 4 Co 2.80
Hf (0.5000, 0.5000, 0.5000)  4 Fe 2.80, 4 Co 2.80
Fe (0.7500, 0.7500, 0.7500)  4 Tb 2.80, 4 Hf 2.80
Co (0.2500, 0.2500, 0.2500)  4 Hf 2.80, 4 Tb 2.80

E_form   -0.095 eV/atom
Volume   16.94 A^3/atom
Magnetization   0.55 μB per formula unit

***

Record 4
Here is a relaxed structure of PmYBe2Si2 from Alexandria. Energies are from PBE-GGA.

abc: 3.9039 3.9039 8.2387
angles: 90.00 90.00 120.00
Closest atoms and distances in Å follow each position.
Sites, in units of the cell vectors:
Y (0.0000, 0.0000, 0.5000)  6 Si 3.02, 6 Be 3.02
Pm (0.0000, 0.0000, 0.0000)  6 Be 3.09, 6 Si 3.09
Be (0.6667, 0.3333, 0.2559)  3 Si 2.25
Be (0.3333, 0.6667, 0.7441)  3 Si 2.25
Si (0.3333, 0.6667, 0.2560)  3 Be 2.25
Si (0.6667, 0.3333, 0.7440)  3 Be 2.25

Formation energy without anion corrections   -648 meV per atom
Volume   18.12 A^3/atom
Magnetization   0.00 μB per formula unit

***

Record 5
Here is a relaxed structure of YTi2Rh from Alexandria. Energies are from PBE-GGA.

abc: 4.6577 4.6577 4.6577
angles: 60.00 60.00 60.00
Closest atoms and distances in Å follow each position.
Sites, in units of the cell vectors:
Ti (0.7500, 0.7500, 0.7500)  4 Rh 2.85, 4 Y 2.85
Ti (0.2500, 0.2500, 0.2500)  4 Rh 2.85, 4 Y 2.85
Y (0.0000, 0.0000, 0.0000)  8 Ti 2.85
Rh (0.5000, 0.5000, 0.5000)  8 Ti 2.85

E above lowest polymorph   35.4 meV per atom
E_form   -0.061 eV/atom
Volume   17.86 A^3/atom
Magnetization   0.00 μB per formula unit

***

Record 6
Here is a relaxed structure of PrSmDyHo2 from Alexandria. Energies are from PBE-GGA.

abc: 7.1851 8.4301 7.1535
angles: 126.10 90.00 90.00
Closest atoms and distances in Å follow each position.
Sites, in units of the cell vectors:
Ho (0.5000, 0.3124, 0.0000)  1 Ho 3.16, 2 Sm 3.19, 2 Dy 3.50
Ho (0.0000, 0.6876, 0.0000)  1 Ho 3.16, 2 Sm 3.19, 2 Dy 3.50
Ho (0.0000, 0.3124, 0.0000)  1 Ho 3.16, 2 Sm 3.19, 2 Dy 3.50
Ho (0.5000, 0.6876, 0.0000)  1 Ho 3.16, 2 Sm 3.19, 2 Dy 3.50
Sm (0.2500, 0.9993, 0.9985)  1 Pr 3.13, 4 Ho 3.19, 1 Dy 3.21
Sm (0.7500, 0.0007, 0.0015)  1 Pr 3.13, 4 Ho 3.19, 1 Dy 3.21
Pr (0.2500, 0.2698, 0.5396)  1 Sm 3.13
Pr (0.7500, 0.7302, 0.4604)  1 Sm 3.13
Dy (0.7500, 0.2788, 0.5576)  1 Sm 3.21, 4 Ho 3.50, 2 Pr 3.59
Dy (0.2500, 0.7212, 0.4424)  1 Sm 3.21, 4 Ho 3.50, 2 Pr 3.59

E_form   0.377 eV/atom
Volume   35.01 A^3/atom
Magnetization   0.00 μB per formula unit